Mg30MnFeO32: optimized geometry, PBE+U.

The density of states at the Fermi level is 6.726 states/eV/cell. As for the energy: -6.00 eV/atom. The size of the total moment is 3.000 μB per cell.

a b c (Å): 8.535 8.535 8.541
angles (deg): 90.00 90.00 90.00
Space group P4/mmm (No. 123)
Unique sites:
Mg 0.000 0.000 0.000 x1
Mg 0.000 0.000 0.500 x1
Mg 0.000 0.250 0.250 x8
Mg 0.000 0.500 0.000 x2
Mg 0.000 0.500 0.500 x2
Mg 0.249 0.249 0.000 x4
Mg 0.249 0.249 0.500 x4
Mg 0.249 0.500 0.250 x8
Mn 0.500 0.500 0.000 x1
Fe 0.500 0.500 0.500 x1
O 0.000 0.000 0.250 x2
O 0.000 0.249 0.000 x4
O 0.000 0.249 0.500 x4
O 0.000 0.500 0.251 x4
O 0.243 0.500 0.000 x4
O 0.246 0.500 0.500 x4
O 0.250 0.250 0.250 x8
O 0.500 0.500 0.250 x2